Entry 1:
# HfSc2Se

An optimized crystal structure of HfSc2Se (PBE-GGA, Alexandria).

Summary:
The size of the total moment comes out at 0.321 μB per atom. Its energy relative to the elements, uncorrected is -1.24 eV/f.u.

```
data_HfSc2Se
_cell_length_a 3.4147
_cell_length_b 3.4147
_cell_length_c 27.9223
_cell_angle_alpha 90.00
_cell_angle_beta 90.00
_cell_angle_gamma 120.00
_symmetry_space_group_name_H-M 'R -3 m'
_symmetry_Int_Tables_number 166
_symmetry_space_group_name_Hall '-R 3 2"'
loop_
_atom_site_label
_atom_site_fract_x
_atom_site_fract_y
_atom_site_fract_z
Hf1 0.0000 0.0000 0.0000
Sc1 0.0000 0.0000 0.1035
Se1 0.0000 0.0000 0.5000
```



Entry 2:
# HfScSe2

An optimized crystal structure of HfScSe2 (PBE-GGA, Alexandria).

Summary:
The energy relative to the lowest polymorph listed for this composition comes out at 1.18 eV per formula unit. The size of the total moment comes out at 0.000 μB per atom. Its energy relative to the elements, uncorrected is -3.71 eV/f.u.

```
data_HfScSe2
_cell_length_a 3.6470
_cell_length_b 3.6470
_cell_length_c 25.9967
_cell_angle_alpha 90.00
_cell_angle_beta 90.00
_cell_angle_gamma 120.00
_symmetry_space_group_name_H-M 'R -3 m'
_symmetry_Int_Tables_number 166
_symmetry_space_group_name_Hall '-R 3 2"'
loop_
_atom_site_label
_atom_site_fract_x
_atom_site_fract_y
_atom_site_fract_z
Hf1 0.0000 0.0000 0.0000
Sc1 0.0000 0.0000 0.5000
Se1 0.0000 0.0000 0.3972
```



Entry 3:
# HfSc2Se

An optimized crystal structure of HfSc2Se (PBE-GGA, Alexandria).

Summary:
The size of the total moment comes out at 0.000 μB per atom. Its energy relative to the elements, uncorrected is -1.14 eV/f.u.

```
data_HfSc2Se
_cell_length_a 8.061
_cell_length_b 8.061
_cell_length_c 5.596
_cell_angle_alpha 90.00
_cell_angle_beta 90.00
_cell_angle_gamma 90.00
_symmetry_space_group_name_H-M 'I -4 2 d'
_symmetry_Int_Tables_number 122
_symmetry_space_group_name_Hall 'I -4 2bw'
loop_
_atom_site_label
_atom_site_fract_x
_atom_site_fract_y
_atom_site_fract_z
Hf1 0.000 0.000 0.000
Sc1 0.190 0.250 0.625
Se1 0.000 0.000 0.500
```



Entry 4:
# Hf2ScSe4

An optimized crystal structure of Hf2ScSe4 (PBE-GGA, Alexandria).

Summary:
The size of the total moment comes out at 0.000 μB per atom. Its energy relative to the elements, uncorrected is -8.66 eV/f.u.

```
data_Hf2ScSe4
_cell_length_a 3.631
_cell_length_b 12.333
_cell_length_c 13.597
_cell_angle_alpha 90.00
_cell_angle_beta 90.00
_cell_angle_gamma 90.00
_symmetry_space_group_name_H-M 'C m c m'
_symmetry_Int_Tables_number 63
_symmetry_space_group_name_Hall '-C 2c 2'
loop_
_atom_site_label
_atom_site_fract_x
_atom_site_fract_y
_atom_site_fract_z
Hf1 0.000 0.150 0.060
Sc1 0.000 0.393 0.250
Se1 0.000 0.055 0.250
Se2 0.000 0.208 0.628
Se3 0.000 0.500 0.000
```



Entry 5:
# HfSc3Se6

An optimized crystal structure of HfSc3Se6 (PBE-GGA, Alexandria).

Summary:
The size of the total moment comes out at 0.000 μB per atom. Its energy relative to the elements, uncorrected is -14.81 eV/f.u.

```
data_HfSc3Se6
_cell_length_a 11.2410
_cell_length_b 11.2410
_cell_length_c 13.6758
_cell_angle_alpha 90.00
_cell_angle_beta 90.00
_cell_angle_gamma 120.00
_symmetry_space_group_name_H-M 'R -3'
_symmetry_Int_Tables_number 148
_symmetry_space_group_name_Hall '-R 3'
loop_
_atom_site_label
_atom_site_fract_x
_atom_site_fract_y
_atom_site_fract_z
Hf1 0.0000 0.0000 0.0000
Hf2 0.0000 0.0000 0.5000
Sc1 0.0531 0.4513 0.3670
Se1 0.0115 0.2030 0.8906
Se2 0.0338 0.1983 0.3786
```



Entry 6:
# HfScSe2

An optimized crystal structure of HfScSe2 (PBE-GGA, Alexandria).

Summary:
The energy relative to the lowest polymorph listed for this composition comes out at 1.63 eV per formula unit. The size of the total moment comes out at 0.000 μB per atom. Its energy relative to the elements, uncorrected is -3.26 eV/f.u.

```
data_HfScSe2
_cell_length_a 6.012
_cell_length_b 6.012
_cell_length_c 11.956
_cell_angle_alpha 90.00
_cell_angle_beta 90.00
_cell_angle_gamma 90.00
_symmetry_space_group_name_H-M 'I -4 2 d'
_symmetry_Int_Tables_number 122
_symmetry_space_group_name_Hall 'I -4 2bw'
loop_
_atom_site_label
_atom_site_fract_x
_atom_site_fract_y
_atom_site_fract_z
Hf1 0.000 0.000 0.000
Sc1 0.000 0.000 0.500
Se1 0.246 0.250 0.125
```



Entry 7:
# HfScSe2

An optimized crystal structure of HfScSe2 (PBE-GGA, Alexandria).

Summary:
The energy relative to the lowest polymorph listed for this composition comes out at 0.52 eV per formula unit. The size of the total moment comes out at 0.000 μB per atom. Its energy relative to the elements, uncorrected is -4.37 eV/f.u.

```
data_HfScSe2
_cell_length_a 6.691
_cell_length_b 6.691
_cell_length_c 6.691
_cell_angle_alpha 90.00
_cell_angle_beta 90.00
_cell_angle_gamma 90.00
_symmetry_space_group_name_H-M 'F m -3 m'
_symmetry_Int_Tables_number 225
_symmetry_space_group_name_Hall '-F 4 2 3'
loop_
_atom_site_label
_atom_site_fract_x
_atom_site_fract_y
_atom_site_fract_z
Hf1 0.000 0.000 0.000
Sc1 0.000 0.000 0.500
Se1 0.250 0.250 0.250
```



Entry 8:
# HfScSe2

An optimized crystal structure of HfScSe2 (PBE-GGA, Alexandria).

Summary:
The energy relative to the lowest polymorph listed for this composition comes out at 0.00 eV per formula unit. The size of the total moment comes out at 0.000 μB per atom. Its energy relative to the elements, uncorrected is -4.89 eV/f.u.

```
data_HfScSe2
_cell_length_a 3.6003
_cell_length_b 3.6003
_cell_length_c 21.5203
_cell_angle_alpha 90.00
_cell_angle_beta 90.00
_cell_angle_gamma 120.00
_symmetry_space_group_name_H-M 'R 3 m'
_symmetry_Int_Tables_number 160
_symmetry_space_group_name_Hall 'R 3 -2"'
loop_
_atom_site_label
_atom_site_fract_x
_atom_site_fract_y
_atom_site_fract_z
Hf1 0.0000 0.0000 0.0000
Sc1 0.0000 0.0000 0.8338
Se1 0.0000 0.0000 0.4158
Se2 0.0000 0.0000 0.5842
```